# 1
Na2TiAsS4 | Alexandria | PBE | optimized geometry; formation energy (no corrections) = -77.0 kJ per mole of atoms; space-group type = P1; energy = -4.76 eV per atom
1.0
-3.4182 2.3840 4.6748
1.7876 -4.7250 3.7082
5.0616 4.0456 -2.5590
Na Ti As S
2 1 1 4
Cartesian
5.0190 0.4313 3.4405
2.0024 1.3565 0.7698
1.1873 0.1862 4.9624
2.4182 3.9860 3.9243
2.4479 1.5258 3.5500
-0.9859 0.9961 4.9554
1.3434 -1.9949 4.1910
3.5789 2.5572 -1.2334

=====

# 2
Na2TlAsS4 | Alexandria | PBE | optimized geometry; formation energy (no corrections) = -56.9 kJ per mole of atoms; space-group type = Pmn2_1; energy = -3.86 eV per atom
1.0
6.2328 0.0000 0.0000
0.0000 6.9232 0.0000
0.0000 0.0000 10.1840
Na Tl As S
4 2 2 8
Cartesian
2.8690 1.9870 2.5604
2.8690 1.9870 7.6235
5.9854 4.9363 7.6524
5.9854 4.9363 2.5316
5.8509 1.6970 5.0920
2.7345 5.2263 0.0000
3.2364 5.7046 5.0920
0.1200 1.2187 0.0000
2.3243 1.2084 0.0000
5.4407 5.7149 5.0920
2.5897 0.8925 5.0920
5.7061 6.0307 0.0000
2.5959 4.7561 6.9658
5.7123 2.1672 1.8738
5.7123 2.1672 8.3101
2.5959 4.7561 3.2181

=====

# 3
Na4Tm3AsS8 | Alexandria | PBE | optimized geometry; formation energy (no corrections) = -146.1 kJ per mole of atoms; space-group type = R-3m; energy = -5.04 eV per atom
1.0
-3.2231 6.8271 1.9536
-5.4097 -0.8699 -5.8851
0.7233 -5.6396 5.3368
Na Tm As S
4 3 1 8
Cartesian
-1.6116 3.4135 0.9768
-1.2499 0.5938 3.6452
0.0000 0.0000 0.0000
0.3617 -2.8198 2.6684
-4.3164 2.9786 -1.9658
-3.9548 0.1588 0.7026
-2.3432 -3.2547 -0.2742
-2.7048 -0.4349 -2.9426
-3.9436 -4.5689 1.4765
-4.3148 -1.6763 -1.2607
-1.9466 -1.3892 1.6431
-5.5968 -1.0670 2.4786
-2.3127 1.3846 -1.0734
-5.9629 1.7068 -0.2378
-3.5947 1.9939 2.6659
-3.9659 4.8865 -0.0713

=====

# 4
Na3Tm3AsS8 | Alexandria | PBE | optimized geometry; formation energy (no corrections) = -139.1 kJ per mole of atoms; space-group type = R-3m; energy = -5.11 eV per atom
1.0
7.7383 0.0000 0.0000
-3.8691 6.7023 -0.0259
0.0000 -4.4464 6.7559
Na Tm As S
3 3 1 8
Cartesian
0.0000 0.0000 0.0000
-1.9346 3.3511 -0.0129
1.9346 3.3511 -0.0129
3.8691 -2.2232 3.3780
1.9346 1.1279 3.3650
-1.9346 1.1279 3.3650
0.0000 -2.2232 3.3780
0.0000 2.2387 1.8539
3.8691 0.0172 4.8762
3.8691 2.3814 1.9328
0.0000 -0.1255 4.7973
5.9270 -1.1838 1.9475
-2.0579 3.4397 4.7826
1.8112 -1.1838 1.9475
2.0579 3.4397 4.7826